## BaLaHgAu (PBE)

Data for a relaxed BaLaHgAu crystal.

Output
- total magnetic moment (μB/f.u.) = 0.0
- formation energy from the elements (eV per atom) = -0.528

Cell lengths 5.610, 5.610, 5.610 Å; angles 60.00, 60.00, 60.00 degrees
Sites, in units of the cell vectors:
Au  0.000  0.000  0.000
Hg  0.500  0.500  0.500
Ba  0.750  0.750  0.750
La  0.250  0.250  0.250

***

## TaCoP2S (PBE)

Data for a relaxed TaCoP2S crystal.

Output
- energy relative to the elements, uncorrected (kJ per mole of atoms) = 70
- total magnetic moment (μB/f.u.) = 2.6
- energy above the lowest structure with this stoichiometry (meV/atom) = 120

Cell lengths 4.832, 4.832, 4.689 Å; angles 90.00, 90.00, 90.00 degrees
Last column: magnetic moment on the atom in μB.
Sites, in units of the cell vectors:
S  0.000  0.000  0.500  0.05
Ta  0.000  0.000  0.000  0.05
P  0.000  0.500  0.000  0.04
P  0.500  0.000  0.000  0.04
Co  0.500  0.500  0.500  2.22

***

Q: Which of these has the lowest total magnetic moment?
A: BaLaHgAu

***

Q: Which formula does entry 2 have?
A: TaCoP2S

***

Q: Among the records above, which one has the highest total magnetic moment?
A: TaCoP2S

***

Q: total magnetic moment of number 1 (BaLaHgAu)?
A: 0.0 μB/f.u.